[1]
Below is a geometry-optimized Mn2AuSe structure, with properties calculated at the PBE level.

Lattice parameters (Å, degrees): 4.789 4.789 4.789 125.64 125.64 80.48
Atoms (fractional coordinates):
Au  0.750  0.250  0.500
Se  0.250  0.750  0.500
Mn  0.500  0.500  0.000
Mn  0.000  0.000  0.000

Summary:
The total moment comes out at 8.56 μB/cell. The calculation puts the calculated volume at 70 Å³/cell. As for the total energy: -24.536 eV per formula unit.



[2]
Below is a geometry-optimized NdPu2Bi structure, with properties calculated at the PBE level.

Lattice parameters (Å, degrees): 5.192 4.703 4.703 90.00 90.00 90.00
Atoms (fractional coordinates):
Pu  0.000  0.500  0.000
Pu  0.000  0.000  0.500
Nd  0.500  0.500  0.500
Bi  0.500  0.000  0.000

Summary:
The total moment comes out at 12.36 μB/cell. As for the energy of formation from the pure elements: -24.4 kJ/mol of atoms. The calculation puts the calculated volume at 115 Å³/cell. As for the total energy: -38.325 eV per formula unit.



[3]
Below is a geometry-optimized Sr2BeW structure, with properties calculated at the PBE level.

Lattice parameters (Å, degrees): 3.123 3.123 9.695 90.00 90.00 90.00
Atoms (fractional coordinates):
Be  0.500  0.500  0.750
W  0.500  0.500  0.250
Sr  0.000  0.000  0.513
Sr  0.000  0.000  0.987

Summary:
The total moment comes out at 0.49 μB/cell. As for the energy of formation from the pure elements: 112.4 kJ/mol of atoms. The calculation puts the calculated volume at 95 Å³/cell. As for the total energy: -15.383 eV per formula unit.